a | The following is a DFT calculation (PBE) of VGaNi2Br after structural relaxation.

abc: 4.5264 4.5264 4.7423
angles: 90.00 90.00 90.00
Fractional coordinates of all 5 atoms:
V  0.0000  0.0000  0.0000
Ga  0.5000  0.5000  0.5000
Ni  0.0000  0.5000  0.0000
Ni  0.5000  0.0000  0.0000
Br  0.0000  0.0000  0.5000

DOS at the Fermi energy: 1.0910 states/eV/atom
calculated volume: 19.43 Å³ per atom
symmetry: No. 123

***

b | The following is a DFT calculation (PBE) of VGaNi2Br after structural relaxation.

abc: 4.3427 4.3427 5.2902
angles: 90.00 90.00 90.00
Fractional coordinates of all 5 atoms:
V  0.0000  0.0000  0.0000
Ga  0.5000  0.5000  0.5000
Ni  0.0000  0.5000  0.5000
Ni  0.5000  0.0000  0.5000
Br  0.5000  0.5000  0.0000

DOS at the Fermi energy: 1.8364 states/eV/atom
calculated volume: 19.95 Å³ per atom
symmetry: No. 123

***

Pick the least stable structure from those above. Pick: b